# MgNpZnRu | Alexandria via LeMat-Bulk | PBE-GGA | relaxed
data_MgNpZnRu
_space_group_name_H-M_alt 'F -4 3 m'
_space_group_IT_number 216
_space_group_name_Hall 'F -4 2 3'
_cell_length_a 6.673
_cell_length_b 6.673
_cell_length_c 6.673
_cell_angle_alpha 90.00
_cell_angle_beta 90.00
_cell_angle_gamma 90.00
loop_
_atom_site_label
_atom_site_fract_x
_atom_site_fract_y
_atom_site_fract_z
Mg1 0.000 0.000 0.000
Np1 0.000 0.000 0.500
Zn1 0.250 0.250 0.750
Ru1 0.250 0.250 0.250
# ΔE_f, eV/atom: 0.16
# Total moment, μB/atom: 0.85
# Calculated density, kg/m3: 9564